# 1
Entry from the Open Quantum Materials Database: a relaxed ReC2 crystal (PBE-GGA).

- size of the total moment (Bohr magnetons per cell) = 0.00

Cell: 6.175 6.175 6.175 Å, 60.00 60.00 60.00°
Sites, in units of the cell vectors:
C1 0.875 0.375 0.375
C2 0.375 0.875 0.375
C3 0.375 0.375 0.375
C4 0.375 0.375 0.875
Re1 0.250 0.250 0.250
Re2 0.500 0.500 0.500

---

# 2
Entry from the Open Quantum Materials Database: a relaxed K3Cu11Te16 crystal (PBE-GGA).

Cell: 6.961 15.835 15.835 Å, 97.55 102.70 102.70°
Sites, in units of the cell vectors:
Cu1 0.793 0.698 0.013
Cu2 0.411 0.702 0.024
Cu3 0.500 0.857 0.143
Cu4 0.418 0.513 0.198
Cu5 0.815 0.524 0.202
Cu6 0.351 0.250 0.250
Cu7 0.589 0.976 0.298
Cu8 0.207 0.987 0.302
Cu9 0.000 0.643 0.357
Cu10 0.185 0.798 0.476
Cu11 0.582 0.802 0.487
Cu12 0.418 0.198 0.513
Cu13 0.815 0.202 0.524
Cu14 0.000 0.357 0.643
Cu15 0.793 0.013 0.698
Cu16 0.411 0.024 0.702
Cu17 0.649 0.750 0.750
Cu18 0.185 0.476 0.798
Cu19 0.582 0.487 0.802
Cu20 0.500 0.143 0.857
Cu21 0.589 0.298 0.976
Cu22 0.207 0.302 0.987
K1 0.000 0.500 0.000
K2 0.921 0.098 0.098
K3 0.226 0.402 0.402
K4 0.000 0.000 0.500
K5 0.774 0.598 0.598
K6 0.079 0.902 0.902
Te1 0.706 0.849 0.026
Te2 0.574 0.574 0.074
Te3 0.161 0.736 0.116
Te4 0.791 0.358 0.142
Te5 0.204 0.350 0.150
Te6 0.294 0.974 0.151
Te7 0.507 0.153 0.153
Te8 0.190 0.616 0.236
Te9 0.839 0.884 0.264
Te10 0.702 0.347 0.347
Te11 0.669 0.526 0.349
Te12 0.204 0.150 0.350
Te13 0.791 0.142 0.358
Te14 0.810 0.764 0.384
Te15 0.426 0.926 0.426
Te16 0.331 0.651 0.474
Te17 0.669 0.349 0.526
Te18 0.574 0.074 0.574
Te19 0.190 0.236 0.616
Te20 0.209 0.858 0.642
Te21 0.796 0.850 0.650
Te22 0.331 0.474 0.651
Te23 0.298 0.653 0.653
Te24 0.161 0.116 0.736
Te25 0.810 0.384 0.764
Te26 0.493 0.847 0.847
Te27 0.706 0.026 0.849
Te28 0.796 0.650 0.850
Te29 0.209 0.642 0.858
Te30 0.839 0.264 0.884
Te31 0.426 0.426 0.926
Te32 0.294 0.151 0.974

---

# 3
Entry from the Open Quantum Materials Database: a relaxed NdNbNO crystal (PBE-GGA).

- size of the total moment (Bohr magnetons per cell) = 0.00

Cell: 4.073 5.259 5.527 Å, 90.00 90.00 90.00°
Sites, in units of the cell vectors:
N1 0.000 0.001 0.320
N2 0.000 0.501 0.680
Nb1 0.500 0.001 0.293
Nb2 0.500 0.501 0.707
Nd1 0.000 0.501 0.231
Nd2 0.000 0.001 0.769
O1 0.500 0.251 0.000
O2 0.500 0.751 0.000

---

# 4
Entry from the Open Quantum Materials Database: a relaxed LaBeTcMo crystal (PBE-GGA).

- size of the total moment (Bohr magnetons per cell) = 0.00

Cell: 4.613 4.613 4.613 Å, 60.00 60.00 60.00°
Sites, in units of the cell vectors:
Be1 0.750 0.750 0.750
La1 0.000 0.000 0.000
Mo1 0.250 0.250 0.250
Tc1 0.500 0.500 0.500

---

# 5
Entry from the Open Quantum Materials Database: a relaxed LiCuNiSeS2 crystal (PBE-GGA).

- size of the total moment (Bohr magnetons per cell) = 0.01

Cell: 6.247 6.247 9.444 Å, 90.00 90.00 148.72°
Sites, in units of the cell vectors:
Cu1 0.440 0.560 0.250
Cu2 0.560 0.440 0.750
Li1 0.761 0.239 0.250
Li2 0.239 0.761 0.750
Ni1 0.000 0.000 0.000
Ni2 0.000 0.000 0.500
S1 0.371 0.629 0.033
S2 0.371 0.629 0.467
S3 0.629 0.371 0.533
S4 0.629 0.371 0.967
Se1 0.084 0.916 0.250
Se2 0.916 0.084 0.750

---

# 6
Entry from the Open Quantum Materials Database: a relaxed PmHoIr crystal (PBE-GGA).

- energy relative to the elements (meV per atom) = 141
- size of the total moment (Bohr magnetons per cell) = 0.00

Cell: 4.728 4.728 4.728 Å, 60.00 60.00 60.00°
Sites, in units of the cell vectors:
Ho1 0.000 0.000 0.000
Ir1 0.250 0.250 0.250
Pm1 0.750 0.750 0.750

---

# 7
Entry from the Open Quantum Materials Database: a relaxed KGdCoSe3 crystal (PBE-GGA).

- size of the total moment (Bohr magnetons per cell) = 4.10

Cell: 9.191 4.038 9.507 Å, 90.00 107.47 90.00°
Site moments in Bohr magnetons follow the coordinates.
Sites, in units of the cell vectors:
Co1 0.075 0.250 0.090  1.58
Co2 0.925 0.750 0.910  1.58
Gd1 0.330 0.750 0.355  0.02
Gd2 0.670 0.250 0.645  0.02
K1 0.802 0.750 0.268  0.00
K2 0.198 0.250 0.732  0.00
Se1 0.186 0.750 0.029  0.11
Se2 0.544 0.250 0.331  0.02
Se3 0.106 0.250 0.351  0.11
Se4 0.894 0.750 0.649  0.11
Se5 0.456 0.750 0.669  0.02
Se6 0.814 0.250 0.971  0.11

---

# 8
Entry from the Open Quantum Materials Database: a relaxed Tb3Ga5O12 crystal (PBE-GGA).

- size of the total moment (Bohr magnetons per cell) = 0.02

Cell: 10.666 10.666 10.666 Å, 109.47 109.47 109.47°
Sites, in units of the cell vectors:
Ga1 0.000 0.000 0.000
Ga2 0.500 0.000 0.000
Ga3 0.000 0.500 0.000
Ga4 0.500 0.500 0.000
Ga5 0.875 0.250 0.125
Ga6 0.750 0.875 0.125
Ga7 0.625 0.375 0.250
Ga8 0.125 0.875 0.250
Ga9 0.250 0.625 0.375
Ga10 0.625 0.750 0.375
Ga11 0.000 0.000 0.500
Ga12 0.500 0.000 0.500
Ga13 0.000 0.500 0.500
Ga14 0.500 0.500 0.500
Ga15 0.375 0.250 0.625
Ga16 0.750 0.375 0.625
Ga17 0.875 0.125 0.750
Ga18 0.375 0.625 0.750
Ga19 0.250 0.125 0.875
Ga20 0.125 0.750 0.875
O1 0.322 0.906 0.029
O2 0.206 0.122 0.029
O3 0.878 0.406 0.084
O4 0.706 0.678 0.084
O5 0.622 0.416 0.094
O6 0.971 0.678 0.094
O7 0.029 0.206 0.122
O8 0.594 0.916 0.122
O9 0.206 0.584 0.178
O10 0.471 0.594 0.178
O11 0.584 0.178 0.206
O12 0.122 0.029 0.206
O13 0.471 0.378 0.294
O14 0.322 0.916 0.294
O15 0.906 0.029 0.322
O16 0.916 0.294 0.322
O17 0.294 0.471 0.378
O18 0.584 0.906 0.378
O19 0.822 0.529 0.406
O20 0.084 0.878 0.406
O21 0.094 0.622 0.416
O22 0.822 0.794 0.416
O23 0.594 0.178 0.471
O24 0.378 0.294 0.471
O25 0.622 0.706 0.529
O26 0.406 0.822 0.529
O27 0.178 0.206 0.584
O28 0.906 0.378 0.584
O29 0.916 0.122 0.594
O30 0.178 0.471 0.594
O31 0.416 0.094 0.622
O32 0.706 0.529 0.622
O33 0.084 0.706 0.678
O34 0.094 0.971 0.678
O35 0.678 0.084 0.706
O36 0.529 0.622 0.706
O37 0.416 0.822 0.794
O38 0.878 0.971 0.794
O39 0.529 0.406 0.822
O40 0.794 0.416 0.822
O41 0.406 0.084 0.878
O42 0.971 0.794 0.878
O43 0.029 0.322 0.906
O44 0.378 0.584 0.906
O45 0.294 0.322 0.916
O46 0.122 0.594 0.916
O47 0.678 0.094 0.971
O48 0.794 0.878 0.971
Tb1 0.250 0.375 0.125
Tb2 0.375 0.750 0.125
Tb3 0.375 0.125 0.250
Tb4 0.875 0.625 0.250
Tb5 0.750 0.125 0.375
Tb6 0.125 0.250 0.375
Tb7 0.875 0.750 0.625
Tb8 0.250 0.875 0.625
Tb9 0.125 0.375 0.750
Tb10 0.625 0.875 0.750
Tb11 0.625 0.250 0.875
Tb12 0.750 0.625 0.875

---

# 9
Entry from the Open Quantum Materials Database: a relaxed ErSnNO crystal (PBE-GGA).

- size of the total moment (Bohr magnetons per cell) = 0.00

Cell: 5.612 8.232 5.533 Å, 90.00 90.00 90.00°
Sites, in units of the cell vectors:
Er1 0.984 0.376 0.472
Er2 0.484 0.624 0.472
Er3 0.516 0.376 0.972
Er4 0.016 0.624 0.972
N1 0.400 0.110 0.057
N2 0.900 0.890 0.057
N3 0.100 0.110 0.557
N4 0.600 0.890 0.557
O1 0.248 0.485 0.221
O2 0.748 0.515 0.221
O3 0.252 0.485 0.721
O4 0.752 0.515 0.721
Sn1 0.476 0.126 0.452
Sn2 0.976 0.874 0.452
Sn3 0.024 0.126 0.952
Sn4 0.524 0.874 0.952

---

# 10
Entry from the Open Quantum Materials Database: a relaxed Gd3Tl4Sn3 crystal (PBE-GGA).

- size of the total moment (Bohr magnetons per cell) = 0.01

Cell: 12.781 12.781 4.666 Å, 90.00 90.00 159.33°
Sites, in units of the cell vectors:
Gd1 0.000 0.000 0.000
Gd2 0.809 0.191 0.000
Gd3 0.191 0.809 0.000
Sn1 0.708 0.292 0.500
Sn2 0.500 0.500 0.500
Sn3 0.292 0.708 0.500
Tl1 0.598 0.402 0.000
Tl2 0.402 0.598 0.000
Tl3 0.901 0.099 0.500
Tl4 0.099 0.901 0.500

---

# 11
Entry from the Open Quantum Materials Database: a relaxed ErNb2Si2As crystal (PBE-GGA).

- size of the total moment (Bohr magnetons per cell) = 0.00

Cell: 3.947 3.947 7.764 Å, 90.00 90.00 90.00°
Sites, in units of the cell vectors:
As1 0.000 0.000 0.715
Er1 0.500 0.500 0.347
Nb1 0.500 0.000 0.989
Nb2 0.000 0.500 0.989
Si1 0.000 0.000 0.229
Si2 0.500 0.500 0.731

---

# 12
Entry from the Open Quantum Materials Database: a relaxed AcOsO3 crystal (PBE-GGA).

- size of the total moment (Bohr magnetons per cell) = 4.79

Cell: 4.595 4.595 4.595 Å, 90.00 90.00 90.00°
Site moments in Bohr magnetons follow the coordinates.
Sites, in units of the cell vectors:
Ac1 0.500 0.500 0.500  0.09
O1 0.500 0.500 0.000  0.33
O2 0.500 0.000 0.500  0.23
O3 0.000 0.500 0.500  0.14
Os1 0.000 0.000 0.000  3.43

---

no.,total energy (eV per atom)
1,-8.777
2,-3.377
3,-8.635
4,-6.986
5,-4.172
6,-5.918
7,-5.058
8,-6.972
9,-7.145
10,-3.971
11,-7.037
12,-5.918